EuHfFeBiO6 | the Alexandria database | GGA+U | relaxed; spin magnetization = 6.0 μB/f.u.; volume = 12.48 Å³ per atom; raw total energy = -7.945 eV per atom
1.0
0.000 3.966 3.966
3.966 0.000 3.966
3.966 3.966 0.000
Eu Hf Fe Bi O
1 1 1 1 6
Direct
0.000 0.000 0.000
0.250 0.250 0.250
0.750 0.750 0.750
0.500 0.500 0.500
0.507 0.507 0.993
0.507 0.993 0.507
0.507 0.993 0.993
0.993 0.507 0.507
0.993 0.507 0.993
0.993 0.993 0.507